<A>
Computed, not measured: crystalline DyYEr2 at its relaxed geometry at the GGA-PBE level of DFT.

Cell lengths 3.5333, 3.5333, 11.6911 Å; angles 81.31, 81.31, 60.00 degrees
Atoms (fractional coordinates):
Y (0.5000, 0.5000, 0.5000)
Dy (0.0000, 0.0000, 0.0000)
Er (0.7496, 0.7496, 0.7511)
Er (0.2504, 0.2504, 0.2489)

=====

<B>
Computed, not measured: crystalline DyYEr2 at its relaxed geometry at the GGA-PBE level of DFT.

Cell lengths 5.6423, 5.6423, 5.6423 Å; angles 60.00, 60.00, 60.00 degrees
Atoms (fractional coordinates):
Y (0.5000, 0.5000, 0.5000)
Dy (0.0000, 0.0000, 0.0000)
Er (0.2500, 0.2500, 0.2500)
Er (0.7500, 0.7500, 0.7500)

=====

Stability verdict: <A>, ahead by 0.115 eV/atom

=====

<A>
Computed, not measured: crystalline DyYEr2 at its relaxed geometry at the GGA-PBE level of DFT.

Cell lengths 3.5316, 3.5316, 9.9944 Å; angles 90.00, 90.00, 90.00 degrees
Atoms (fractional coordinates):
Y (0.5000, 0.5000, 0.5000)
Dy (0.5000, 0.5000, 0.0000)
Er (0.0000, 0.0000, 0.7516)
Er (0.0000, 0.0000, 0.2484)

=====

<B>
Computed, not measured: crystalline DyYEr2 at its relaxed geometry at the GGA-PBE level of DFT.

Cell lengths 3.6072, 5.6148, 7.2091 Å; angles 89.99, 120.03, 90.00 degrees
Atoms (fractional coordinates):
Dy (0.8342, 0.2525, 0.5799)
Y (0.1698, 0.7523, 0.9155)
Er (0.8370, 0.2524, 0.0827)
Er (0.1688, 0.7524, 0.4147)

=====

Stability verdict: <B>, ahead by 0.019 eV/atom

=====

<A>
Computed, not measured: crystalline DyYEr2 at its relaxed geometry at the GGA-PBE level of DFT.

Cell lengths 4.9926, 4.9982, 4.9982 Å; angles 90.00, 90.00, 90.00 degrees
Atoms (fractional coordinates):
Y (0.5000, 0.5000, 0.5000)
Dy (0.5000, 0.0000, 0.0000)
Er (0.0000, 0.0000, 0.5000)
Er (0.0000, 0.5000, 0.0000)

=====

<B>
Computed, not measured: crystalline DyYEr2 at its relaxed geometry at the GGA-PBE level of DFT.

Cell lengths 3.5614, 3.5614, 11.5653 Å; angles 81.14, 81.14, 60.00 degrees
Atoms (fractional coordinates):
Dy (0.6663, 0.6663, 0.0010)
Y (0.5005, 0.5005, 0.4986)
Er (0.0832, 0.0832, 0.7504)
Er (0.2500, 0.2500, 0.2499)

=====

Stability verdict: <B>, ahead by 0.015 eV/atom